Entry 1:
The following is a DFT calculation (PBE) of crystalline AlV2HRh at its relaxed geometry.

```
AlV2HRh
1.0
3.701 0.000 0.000
0.000 3.701 0.000
0.000 0.000 4.209
H Rh Al V
1 1 1 2
Direct
0.000 0.000 0.000 H
0.000 0.000 0.500 Rh
0.500 0.500 0.500 Al
0.000 0.500 0.000 V
0.500 0.000 0.000 V
```

Values from the calculation:
energy above the lowest structure with this stoichiometry = 0 meV/atom

Entry 2:
The following is a DFT calculation (PBE) of crystalline Al2VHRh at its relaxed geometry.

```
Al2VHRh
1.0
-3.704 -1.615 1.142
-0.305 -1.929 -3.718
1.559 -2.682 1.264
H Rh Al V
1 1 2 1
Direct
0.000 0.000 0.000 H
0.500 0.500 0.500 Rh
0.000 0.500 0.000 Al
0.500 0.000 0.000 Al
0.000 0.000 0.500 V
```

Values from the calculation:
energy above the lowest structure with this stoichiometry = 0 meV/atom

Entry 3:
The following is a DFT calculation (PBE) of crystalline Y2AlHRh at its relaxed geometry.

```
Y2AlHRh
1.0
-1.433 -4.774 0.418
4.343 -1.110 2.218
-1.471 0.725 3.243
Y H Rh Al
2 1 1 1
Direct
0.000 0.500 0.000 Y
0.500 0.000 0.000 Y
0.000 0.000 0.000 H
0.000 0.000 0.500 Rh
0.500 0.500 0.500 Al
```

Entry 4:
The following is a DFT calculation (PBE) of crystalline AlHRu3 at its relaxed geometry.

```
AlHRu3
1.0
-2.220 -2.858 2.636
3.811 -1.000 2.125
-0.768 3.298 2.929
Ru Al H
3 1 1
Direct
0.000 0.500 0.000 Ru
0.000 0.000 0.500 Ru
0.500 0.000 0.000 Ru
0.000 0.000 0.000 Al
0.500 0.500 0.500 H
```

Values from the calculation:
energy above the lowest structure with this stoichiometry = 1964 meV/atom

Entry 5:
The following is a DFT calculation (PBE) of crystalline AlHRu2 at its relaxed geometry.

```
AlHRu2
1.0
-2.187 -1.228 -1.269
-1.190 -2.276 1.141
-5.165 2.604 3.268
Ru Al H
2 1 1
Direct
0.274 0.274 0.178 Ru
0.726 0.726 0.822 Ru
0.500 0.500 0.500 Al
0.000 0.000 0.000 H
```

Values from the calculation:
energy above the lowest structure with this stoichiometry = 0 meV/atom

Entry 6:
The following is a DFT calculation (PBE) of crystalline Al2H2Ru at its relaxed geometry.

```
Al2H2Ru
1.0
2.902 0.000 0.000
0.000 2.902 0.000
1.451 1.451 5.925
Ru Al H
1 2 2
Direct
0.000 0.000 0.000 Ru
0.367 0.367 0.267 Al
0.633 0.633 0.733 Al
0.750 0.250 0.500 H
0.250 0.750 0.500 H
```

Entry 7:
The following is a DFT calculation (PBE) of crystalline Al3HRu at its relaxed geometry.

```
Al3HRu
1.0
3.906 0.000 0.000
0.000 3.906 0.000
0.000 0.000 3.906
Ru Al H
1 3 1
Direct
0.500 0.500 0.500 Ru
0.000 0.500 0.000 Al
0.000 0.000 0.500 Al
0.500 0.000 0.000 Al
0.000 0.000 0.000 H
```

Entry 8:
The following is a DFT calculation (PBE) of crystalline AlHRu2 at its relaxed geometry.

```
AlHRu2
1.0
-0.998 1.464 2.147
-0.736 -2.365 1.271
5.276 -0.237 2.614
Ru Al H
2 1 1
Direct
0.000 0.000 0.793 Ru
0.000 0.000 0.207 Ru
0.500 0.500 0.500 Al
0.500 0.500 0.000 H
```

Values from the calculation:
energy above the lowest structure with this stoichiometry = 369 meV/atom

The total energy results, record by record, are as follows: -6.8620; -5.8123; -6.0577; -5.0576; -6.6105; -4.7551; -4.9126; -6.2413 eV/atom.